Below is an optimized crystal structure of Be2InW, with properties calculated at the GGA-PBE level.

N(E_F) in states/eV/cell: 3.518
E in eV per atom: -5.17
Space group: I4/mmm, No. 139

Lattice parameters (Å, degrees): 4.569 4.569 4.569 129.36 129.36 74.44
Fractional positions:
Be1 0.500 0.500 0.000
W1 0.750 0.250 0.500
Be2 0.000 0.000 0.000
In1 0.250 0.750 0.500

Below is an optimized crystal structure of Ti5Ga5Cu2, with properties calculated at the GGA-PBE level.

N(E_F) in states/eV/cell: 9.771
E in eV per atom: -5.59
Space group: C2/m, No. 12

Lattice parameters (Å, degrees): 4.123 7.197 7.046 97.62 72.99 73.36
Fractional positions:
Ga1 0.000 0.000 0.000
Cu1 0.398 0.451 0.753
Cu2 0.602 0.549 0.247
Ti1 0.686 0.714 0.913
Ti2 0.347 0.981 0.324
Ti3 0.314 0.286 0.087
Ti4 0.000 0.500 0.500
Ga2 0.695 0.239 0.371
Ga3 0.305 0.761 0.629
Ti5 0.653 0.019 0.676
Ga4 0.052 0.707 0.189
Ga5 0.948 0.293 0.811

Below is an optimized crystal structure of Rb3SmAs2O8, with properties calculated at the GGA-PBE level.

N(E_F) in states/eV/cell: 0.000
E in eV per atom: -6.03
Space group: P-3m1, No. 164
Raw formation energy in kJ/mol of atoms: -191.6

Lattice parameters (Å, degrees): 6.069 6.069 8.172 90.00 90.00 120.00
Fractional positions:
Rb1 0.667 0.333 0.281
O1 0.333 0.667 0.051
O2 0.821 0.642 0.666
O3 0.821 0.179 0.666
As1 0.667 0.333 0.743
As2 0.333 0.667 0.257
O4 0.642 0.821 0.334
Rb2 0.333 0.667 0.719
Rb3 0.000 0.000 0.000
O5 0.667 0.333 0.949
O6 0.179 0.821 0.334
Sm1 0.000 0.000 0.500
O7 0.358 0.179 0.666
O8 0.179 0.358 0.334

Below is an optimized crystal structure of Pm15Tm2Sc2, with properties calculated at the GGA-PBE level.

N(E_F) in states/eV/cell: 34.074
E in eV per atom: -4.60
Space group: R-3m, No. 166

Lattice parameters (Å, degrees): 8.797 8.797 8.797 78.20 78.20 78.20
Fractional positions:
Tm1 0.307 0.307 0.307
Pm1 0.292 0.000 0.708
Sc1 0.912 0.912 0.912
Pm2 0.383 0.843 0.383
Pm3 0.157 0.617 0.617
Pm4 0.000 0.000 0.500
Pm5 0.617 0.157 0.617
Pm6 0.617 0.617 0.157
Pm7 0.383 0.383 0.843
Pm8 0.000 0.708 0.292
Pm9 0.708 0.292 0.000
Pm10 0.292 0.708 0.000
Sc2 0.088 0.088 0.088
Pm11 0.708 0.000 0.292
Pm12 0.000 0.500 0.000
Pm13 0.500 0.000 0.000
Pm14 0.843 0.383 0.383
Tm2 0.693 0.693 0.693
Pm15 0.000 0.292 0.708